(1)
Computed, not measured: a relaxed Ac2InAs2O2 crystal at the GGA-PBE level of DFT.

Computed properties:
VASP energy	-41.42	eV for the cell shown
formation energy without anion corrections	-1.607	eV/atom
DOS(E_F)	4.029	states/eV per cell

The structure in POSCAR format:
```
Ac2InAs2O2
1.0
4.277 0.000 0.000
-2.138 3.704 0.000
0.000 0.000 12.278
Ac In As O
2 1 2 2
Direct
0.333 0.667 0.129
0.667 0.333 0.871
0.000 0.000 0.500
0.000 0.000 0.302
0.000 0.000 0.698
0.333 0.667 0.924
0.667 0.333 0.076
```


(2)
Computed, not measured: a relaxed YMn2Cr crystal at the GGA-PBE level of DFT.

Computed properties:
energy above the most stable polymorph in this dataset	218	meV/atom
energy relative to the elements	0.42	eV per atom
VASP energy	-32.76	eV for the cell shown
DOS(E_F)	4.457	states/eV per cell

The structure in POSCAR format:
```
YMn2Cr
1.0
3.227 -3.227 0.000
3.227 3.227 0.000
-0.015 0.000 3.311
Y Mn Cr
1 2 1
Direct
0.000 0.000 0.000
0.000 0.500 0.500
0.500 0.000 0.500
0.500 0.500 0.000
```


(3)
Computed, not measured: a relaxed K2NpRh2S6 crystal at the GGA-PBE level of DFT.

Computed properties:
VASP energy	-65.21	eV for the cell shown
formation energy without anion corrections	-0.965	eV/atom
DOS(E_F)	6.713	states/eV per cell

The structure in POSCAR format:
```
K2NpRh2S6
1.0
3.076 -5.419 0.000
3.076 5.419 0.000
-1.924 0.000 7.635
K Np Rh S
2 1 2 6
Direct
0.160 0.840 0.000
0.840 0.160 0.000
0.000 0.000 0.500
0.334 0.666 0.500
0.666 0.334 0.500
0.056 0.420 0.683
0.309 0.309 0.315
0.420 0.056 0.683
0.580 0.944 0.317
0.691 0.691 0.685
0.944 0.580 0.317
```


(4)
Computed, not measured: a relaxed Cs2AlTeBr6 crystal at the GGA-PBE level of DFT.

Computed properties:
VASP energy	-29.28	eV for the cell shown
formation energy without anion corrections	-1.065	eV/atom
DOS(E_F)	1.760	states/eV per cell

The structure in POSCAR format:
```
Cs2AlTeBr6
1.0
-4.196 4.196 5.527
4.196 -4.196 5.527
4.196 4.196 -5.527
Cs Al Te Br
2 1 1 6
Direct
0.250 0.750 0.500
0.750 0.250 0.500
0.000 0.000 0.000
0.500 0.500 0.000
0.209 0.209 0.417
0.209 0.791 0.000
0.252 0.252 0.000
0.748 0.748 0.000
0.791 0.209 0.000
0.791 0.791 0.583
```


(5)
Computed, not measured: a relaxed Ce2Ni5Pt5 crystal at the GGA-PBE level of DFT.

Computed properties:
energy relative to the elements	-0.59	eV per atom
VASP energy	-78.08	eV for the cell shown
DOS(E_F)	13.292	states/eV per cell

The structure in POSCAR format:
```
Ce2Ni5Pt5
1.0
4.267 0.000 0.000
0.000 5.074 0.000
0.000 0.000 9.064
Ce Ni Pt
2 5 5
Direct
0.000 0.000 0.000
0.000 0.500 0.500
0.500 0.000 0.500
0.500 0.249 0.258
0.500 0.249 0.742
0.500 0.751 0.258
0.500 0.751 0.742
0.000 0.000 0.335
0.000 0.000 0.665
0.000 0.500 0.180
0.000 0.500 0.820
0.500 0.500 0.000
```


(6)
Computed, not measured: a relaxed Ti2FeP crystal at the GGA-PBE level of DFT.

Computed properties:
energy relative to the elements	-0.17	eV per atom
VASP energy	-60.70	eV for the cell shown
DOS(E_F)	8.724	states/eV per cell

The structure in POSCAR format:
```
Ti2FeP
1.0
-3.289 3.289 2.654
3.289 -3.289 2.654
3.289 3.289 -2.654
Ti Fe P
4 2 2
Direct
0.112 0.125 0.487
0.375 0.888 0.013
0.638 0.625 0.513
0.875 0.362 0.987
0.000 0.000 0.000
0.750 0.250 0.500
0.250 0.750 0.500
0.500 0.500 0.000
```


(7)
Computed, not measured: a relaxed Be3InAs crystal at the GGA-PBE level of DFT.

Computed properties:
energy above the most stable polymorph in this dataset	0	meV/atom
energy relative to the elements	0.77	eV per atom
VASP energy	-14.70	eV for the cell shown
DOS(E_F)	1.483	states/eV per cell

The structure in POSCAR format:
```
Be3InAs
1.0
4.389 0.000 0.000
0.000 4.389 0.000
0.000 0.000 4.389
Be In As
3 1 1
Direct
0.000 0.000 0.500
0.000 0.500 0.000
0.500 0.000 0.000
0.500 0.500 0.500
0.000 0.000 0.000
```


(8)
Computed, not measured: a relaxed Ac4SnGe2 crystal at the GGA-PBE level of DFT.

Computed properties:
energy above the most stable polymorph in this dataset	108	meV/atom
energy relative to the elements	-0.58	eV per atom
VASP energy	-67.51	eV for the cell shown
DOS(E_F)	3.953	states/eV per cell

The structure in POSCAR format:
```
Ac4SnGe2
1.0
-5.148 5.148 5.128
5.148 -5.148 5.128
5.148 5.148 -5.128
Ac Sn Ge
8 2 4
Direct
0.202 0.271 0.569
0.202 0.633 0.931
0.271 0.202 0.069
0.367 0.798 0.569
0.633 0.202 0.431
0.729 0.798 0.931
0.798 0.367 0.069
0.798 0.729 0.431
0.125 0.875 0.250
0.875 0.125 0.750
0.000 0.500 0.500
0.500 0.000 0.000
0.500 0.500 0.000
0.500 0.500 0.500
```